Density functional theory data (PBE) for an optimized crystal structure of CaPtS.

Lattice parameters (Å, degrees): 7.620 5.308 3.783 110.87 104.38 104.78
Element x y z (fractional)
S (0.129, 0.626, 0.407)
S (0.794, 0.985, 0.419)
Ca (0.800, 0.549, 0.704)
Ca (0.220, 0.250, 0.765)
Pt (0.597, 0.024, 0.840)
Pt (0.334, 0.893, 0.143)

Computed properties:
- N(E_F): 0.000 states/eV per atom
- Electronic total energy: -5.229 eV/atom
- Formation energy (no corrections): -1172.6 meV per atom